Here is a geometry-optimized Zr2AlFe structure from OQMD via LeMat-Bulk. Energies are from PBE.

It has space group F-43m (No. 216), with a = 6.498 Å, b = 6.498 Å, c = 6.498 Å, α = 90.00°, β = 90.00° and γ = 90.00°. The inequivalent atoms are Zr at (0.000, 0.000, 0.000), Zr at (0.250, 0.250, 0.250), Al at (0.000, 0.000, 0.500) and Fe at (0.250, 0.250, 0.750).

For the total magnetization, the calculation gives 0.95 μB per formula unit. The value obtained for the energy is -0.267 Ha/atom. The density comes out at 6.4 g/cm³.